DFT (PBE) results for an optimized crystal structure of Sm5Tm3P8.

extended XYZ file:
```
16
Lattice="-6.0645 5.3147 0.7402 -6.5811 -1.9397 4.3010 -1.3877 3.5938 7.1203" Properties=species:S:1:pos:R:3 pbc="T T T"
Sm -3.0323 2.6574 0.3701
Sm -6.3228 1.6875 2.5206
Sm 0.0000 0.0000 0.0000
Sm -3.2906 -0.9698 2.1505
Sm -7.0167 3.4844 6.0808
Tm -3.7261 4.4543 3.9303
Tm -0.6938 1.7969 3.5602
Tm -3.9844 0.8271 5.7107
P -4.1930 3.5154 6.5536
P -7.5270 2.5328 8.7324
P -7.2653 6.2078 6.9285
P -10.5524 5.2027 9.0684
P -9.8403 3.4535 5.6080
P -6.5063 4.4361 3.4291
P -6.7681 0.7610 5.2330
P -3.4809 1.7662 3.0932
```

Results
**Symmetry**: R-3m
**Crystal system**: trigonal
**Energy of formation**: -1.5754 eV per atom

***

DFT (PBE) results for an optimized crystal structure of K3Hg4As2.

extended XYZ file:
```
9
Lattice="-1.5174 3.0682 -3.3211 1.0580 -6.0935 -2.6885 -9.1527 -0.8026 3.4403" Properties=species:S:1:pos:R:3 pbc="T T T"
K -6.6174 -0.5475 -0.9069
K 0.0000 0.0000 0.0000
K -2.9947 -3.2803 -1.6623
Hg -1.2478 -0.5033 -3.3193
Hg -8.3643 -3.3246 0.7501
Hg -6.1790 -3.0639 -3.4320
Hg -3.4331 -0.7640 0.8627
As -3.1986 0.3814 -1.6107
As -6.4135 -4.2093 -0.9585
```

Results
**Symmetry**: C2/m
**Crystal system**: monoclinic
**Energy of formation**: -0.3276 eV per atom

***

DFT (PBE) results for an optimized crystal structure of NpScIr2.

extended XYZ file:
```
4
Lattice="-0.7444 -2.4179 1.8596 2.9207 -0.0129 1.1524 -2.0610 4.6920 5.2758" Properties=species:S:1:pos:R:3 pbc="T T T"
Np 0.0577 1.1306 4.1439
Sc 1.0881 -1.2154 1.5060
Ir -1.5879 3.6150 4.0648
Ir -0.4730 1.0769 1.2109
```

Results
**Symmetry**: P4/mmm
**Crystal system**: tetragonal
**Energy of formation**: -0.5841 eV per atom

***

DFT (PBE) results for an optimized crystal structure of LiAl2Ag.

extended XYZ file:
```
4
Lattice="4.5123 0.0000 0.0000 2.2562 3.9078 0.0000 2.2562 1.3026 3.6843" Properties=species:S:1:pos:R:3 pbc="T T T"
Al 0.0000 0.0000 0.0000
Al 2.2562 1.3026 0.9211
Ag 4.5123 2.6052 1.8422
Li 6.7685 3.9078 2.7632
```

Results
**Symmetry**: F-43m
**Crystal system**: cubic
**Energy of formation**: -0.1123 eV per atom
**Energy above the lowest structure with this stoichiometry**: 0.10 eV per formula unit

***

DFT (PBE) results for an optimized crystal structure of Pr2Nd2Co.

extended XYZ file:
```
10
Lattice="-4.3568 -6.1899 -0.5229 2.4621 -6.1747 -2.4704 -0.9186 -5.6850 5.9962" Properties=species:S:1:pos:R:3 pbc="T T T"
Pr -0.8663 -1.6561 0.4890
Pr -4.4092 -10.2189 4.9843
Pr -3.3849 -7.4106 3.2209
Pr -1.8906 -4.4643 2.2523
Nd -1.5516 -7.7702 0.1234
Nd -3.8260 -13.1184 2.8017
Nd -1.2618 -10.2794 2.8795
Nd 1.0127 -4.9312 0.2012
Co -3.7005 -9.7728 1.9441
Co 0.8872 -8.2768 1.0588
```

Results
**Symmetry**: C2/m
**Crystal system**: monoclinic
**Energy of formation**: -0.0031 eV per atom

***

DFT (PBE) results for an optimized crystal structure of HoEr6Al.

extended XYZ file:
```
8
Lattice="5.9755 0.6176 -1.5867 -1.6498 5.7763 -1.5867 -2.4788 -3.6639 8.4068" Properties=species:S:1:pos:R:3 pbc="T T T"
Ho 0.0000 0.0000 0.0000
Er 0.0045 0.0067 5.2309
Er 3.5943 0.2222 0.9634
Er 1.8424 2.7233 0.0025
Er 2.9779 -0.6890 4.2700
Er -1.7474 2.5078 4.2700
Er -1.1310 3.4190 0.9634
Al 0.9235 1.3650 2.6167
```

Results
**Symmetry**: C2/m
**Crystal system**: monoclinic
**Energy of formation**: 0.0254 eV per atom

***

DFT (PBE) results for an optimized crystal structure of LaNbZn2.

extended XYZ file:
```
8
Lattice="4.4940 0.0000 0.0000 0.0000 4.4940 0.0000 2.2470 2.2470 9.6493" Properties=species:S:1:pos:R:3 pbc="T T T"
Nb 2.2470 2.2470 0.0000
Nb 2.2470 4.4940 4.8247
Zn 2.7553 1.1235 2.4123
Zn 1.7387 3.3705 2.4123
Zn 3.3705 3.9857 7.2370
Zn 5.6175 5.0023 7.2370
La 0.0000 0.0000 0.0000
La 4.4940 2.2470 4.8247
```

Results
**Symmetry**: I-42d
**Crystal system**: tetragonal
**Energy of formation**: 0.4402 eV per atom
**Energy above the lowest structure with this stoichiometry**: 1.27 eV per formula unit

***

DFT (PBE) results for an optimized crystal structure of InCuSn2Pb.

extended XYZ file:
```
5
Lattice="5.1859 0.0000 0.0000 0.0000 5.1859 0.0000 0.0000 0.0000 5.1136" Properties=species:S:1:pos:R:3 pbc="T T T"
Pb 2.5929 2.5929 2.5568
Sn 0.0000 2.5929 0.0000
Sn 2.5929 0.0000 0.0000
Cu 0.0000 0.0000 0.0000
In 0.0000 0.0000 2.5568
```

Results
**Symmetry**: P4/mmm
**Crystal system**: tetragonal
**Energy of formation**: 0.1974 eV per atom

***

DFT (PBE) results for an optimized crystal structure of AlPS6.

extended XYZ file:
```
8
Lattice="-6.0839 -0.5348 -6.0738 -5.1130 -3.1817 -2.0031 -4.2348 5.2395 1.1298" Properties=species:S:1:pos:R:3 pbc="T T T"
Al -7.2304 -0.5619 -1.4382
P -6.0839 -0.5348 -6.0738
S -8.5742 -1.2844 -3.3826
S -10.2340 2.6751 -4.4491
S -6.8575 2.8074 -3.5645
S -8.0799 -0.2869 -5.0556
S -5.1977 -1.1521 -2.4979
S -7.3518 1.8099 -1.8914
```

Results
**Symmetry**: P-1
**Crystal system**: triclinic
**E_form (uncorrected)**: -1.6 kcal/mol of atoms

***

DFT (PBE) results for an optimized crystal structure of Rb2SbSF6.

extended XYZ file:
```
10
Lattice="6.9946 0.0000 0.0000 0.0000 6.9946 0.0000 3.4973 3.4973 4.7124" Properties=species:S:1:pos:R:3 pbc="T T T"
Sb 0.0000 0.0000 0.0000
S 3.4973 3.4973 0.0000
Rb 6.9946 3.4973 2.3562
Rb 3.4973 6.9946 2.3562
F 3.4973 3.4973 2.7271
F 6.9946 6.9946 1.9854
F 1.4027 1.4027 0.0000
F 5.5918 5.5918 0.0000
F 5.5918 1.4027 0.0000
F 1.4027 5.5918 0.0000
```

Results
**Symmetry**: I4/mmm
**Crystal system**: tetragonal
**E_form (uncorrected)**: -46.3 kcal/mol of atoms

***

DFT (PBE) results for an optimized crystal structure of Be2CrHg.

extended XYZ file:
```
4
Lattice="2.9986 0.0000 0.0000 0.0000 2.9998 0.0000 0.0000 0.0000 5.7244" Properties=species:S:1:pos:R:3 pbc="T T T"
Cr 1.4993 1.4999 1.4311
Hg 1.4993 1.4999 4.2933
Be 0.0000 0.0000 0.3367
Be 0.0000 0.0000 2.5254
```

Results
**Symmetry**: P4/mmm
**Crystal system**: tetragonal
**Energy of formation**: 0.3467 eV per atom
**Energy above the lowest structure with this stoichiometry**: 0.00 eV per formula unit

***

DFT (PBE) results for an optimized crystal structure of CdBiAu6.

extended XYZ file:
```
8
Lattice="-4.2384 -1.9960 -0.5565 1.0699 -3.3407 3.8336 -2.5260 4.1573 4.3278" Properties=species:S:1:pos:R:3 pbc="T T T"
Cd -3.0173 -0.0586 3.1930
Bi 0.7204 -2.2493 2.5811
Au -1.9042 -2.6738 4.0950
Au -1.6671 2.4666 3.8509
Au -0.4833 0.5181 1.8226
Au -3.0697 -0.7555 6.0919
Au -0.5438 -0.1668 4.7407
Au -1.8100 -1.9635 0.8297
```

Results
**Symmetry**: Pmm2
**Crystal system**: orthorhombic
**Energy of formation**: -0.0470 eV per atom
**Energy above the lowest structure with this stoichiometry**: 0.00 eV per formula unit

***

DFT (PBE) results for an optimized crystal structure of LiCuPd6.

extended XYZ file:
```
8
Lattice="-4.5633 1.9582 -2.3376 -4.8692 -2.3910 0.8298 -3.1790 1.6529 4.2542" Properties=species:S:1:pos:R:3 pbc="T T T"
Li 0.0000 0.0000 0.0000
Cu -4.7163 -0.2164 -0.7539
Pd -7.4848 1.2415 0.9797
Pd -4.9760 2.1534 0.1824
Pd -7.6355 -0.9333 2.5640
Pd -5.1268 -0.0215 1.7668
Pd -7.1256 -0.3232 -1.1418
Pd -2.3069 -0.1097 -0.3659
```

Results
**Symmetry**: C2/m
**Crystal system**: monoclinic
**Energy of formation**: 0.1283 eV per atom
**Energy above the lowest structure with this stoichiometry**: 2.20 eV per formula unit

***

DFT (PBE) results for an optimized crystal structure of CeTm2Th2.

extended XYZ file:
```
5
Lattice="-1.6641 -3.9579 -1.2438 -0.2289 -1.2504 4.2855 -6.7719 5.6955 -1.0312" Properties=species:S:1:pos:R:3 pbc="T T T"
Ce 0.0000 0.0000 0.0000
Tm -4.6912 -0.4333 -0.3771
Tm -3.9737 0.9204 2.3876
Th -6.2799 2.5151 0.3984
Th -2.3851 -2.0280 1.6121
```

Results
**Symmetry**: I4/mmm
**Crystal system**: tetragonal
**Energy of formation**: 0.4452 eV per atom
**Energy above the lowest structure with this stoichiometry**: 1.97 eV per formula unit

***

DFT (PBE) results for an optimized crystal structure of SrBi2Au2.

extended XYZ file:
```
10
Lattice="8.1499 0.0000 0.0000 0.0000 8.1499 0.0000 0.0000 0.0000 4.0910" Properties=species:S:1:pos:R:3 pbc="T T T"
Sr 0.0000 0.0000 0.0000
Sr 4.0750 4.0750 0.0000
Au 3.0828 7.1578 0.0000
Au 7.1578 5.0671 0.0000
Au 5.0671 0.9922 0.0000
Au 0.9922 3.0828 0.0000
Bi 1.4914 5.5664 2.0455
Bi 5.5664 6.6585 2.0455
Bi 6.6585 2.5835 2.0455
Bi 2.5835 1.4914 2.0455
```

Results
**Symmetry**: P4/mbm
**Crystal system**: tetragonal
**Energy of formation**: -0.3643 eV per atom

***

DFT (PBE) results for an optimized crystal structure of Na2Y2UTe6.

extended XYZ file:
```
11
Lattice="7.6130 -0.0121 0.0785 -3.7733 6.6122 0.0785 -1.3649 -2.3462 7.5665" Properties=species:S:1:pos:R:3 pbc="T T T"
Na 5.7005 1.1006 0.0785
Na -1.8608 5.4995 0.0785
Y -0.6708 3.2371 3.8618
Y 3.1456 1.0168 3.8618
U -0.6825 -1.1731 3.7833
Te 1.8684 3.2116 5.6359
Te -1.9348 0.9858 5.5748
Te 0.6064 1.0423 2.0877
Te 1.8132 -1.1947 5.5748
Te 4.4095 3.2681 2.1488
Te 0.6616 5.4486 2.1488
```

Results
**Symmetry**: C2/m
**Crystal system**: monoclinic
**E_form (uncorrected)**: -25.8 kcal/mol of atoms

***

DFT (PBE) results for an optimized crystal structure of LaTi2Co2.

extended XYZ file:
```
10
Lattice="-1.1760 2.5700 7.0371 5.7573 -4.2479 2.5135 1.7947 2.1461 -0.4839" Properties=species:S:1:pos:R:3 pbc="T T T"
Ti 4.5269 -2.7275 4.6926
Ti 2.6751 -0.5101 7.6594
Ti 0.0545 1.0497 4.8580
Ti 1.9063 -1.1678 1.8912
Co 4.4027 -1.2804 2.3212
Co 5.1183 -0.9572 6.4089
Co 1.9734 1.7487 6.7455
Co 1.2578 1.4255 2.6578
La 0.0000 0.0000 0.0000
La 2.2907 -0.8389 4.7753
```

Results
**Symmetry**: P4/mbm
**Crystal system**: tetragonal
**Energy of formation**: -0.0460 eV per atom
**Energy above the lowest structure with this stoichiometry**: 0.96 eV per formula unit

***

DFT (PBE) results for an optimized crystal structure of CaPmVN3.

extended XYZ file:
```
12
Lattice="-0.0635 1.5321 -3.4746 -4.7369 -5.0038 -0.0441 -3.3287 5.6287 2.5427" Properties=species:S:1:pos:R:3 pbc="T T T"
Ca -6.4028 2.2544 1.1110
Ca -1.7264 -0.0975 -2.0871
Pm -3.4320 2.7315 -0.8086
Pm -4.6972 -0.5746 -0.1675
V -5.6841 -1.9556 -2.8341
V -2.4450 4.1125 1.8580
N -3.9419 -1.2313 -2.5466
N -5.5808 1.6385 -1.2512
N -1.0157 2.3746 -1.0101
N -2.5484 0.5184 0.2751
N -7.1134 -0.2177 0.0340
N -4.1873 3.3882 1.5705
```

Results
**Symmetry**: C2/m
**Crystal system**: monoclinic
**E_form (uncorrected)**: -23.8 kcal/mol of atoms

***

DFT (PBE) results for an optimized crystal structure of Cr2H4Au.

extended XYZ file:
```
7
Lattice="3.6536 0.0000 0.0000 0.0000 3.6536 0.0000 1.8268 1.8268 5.4461" Properties=species:S:1:pos:R:3 pbc="T T T"
Cr 3.6536 3.6536 3.8910
Cr 1.8268 1.8268 1.5551
Au 0.0000 0.0000 0.0000
H 3.6536 3.6536 2.0927
H 1.8268 1.8268 3.3534
H 0.0000 1.8268 0.0000
H 1.8268 0.0000 0.0000
```

Results
**Symmetry**: I4/mmm
**Crystal system**: tetragonal
**Calculated total energy**: -4.554 eV per atom

***

DFT (PBE) results for an optimized crystal structure of Pm2Ho7Tm.

extended XYZ file:
```
10
Lattice="3.4974 0.0000 0.0000 0.0000 13.9047 -4.7601 0.0000 -10.5213 10.2617" Properties=species:S:1:pos:R:3 pbc="T T T"
Pm 1.7487 6.7730 -0.3742
Pm 1.7487 -3.3896 5.8758
Ho 0.0000 9.3964 -1.9875
Ho 0.0000 -6.0130 7.4891
Ho 1.7487 -1.5506 2.8160
Ho 1.7487 4.9340 2.6856
Ho 1.7487 3.2126 -0.1133
Ho 1.7487 0.1707 5.6149
Ho 1.7487 1.6917 2.7508
Tm 0.0000 0.0000 0.0000
```

Results
**Symmetry**: Cmmm
**Crystal system**: orthorhombic
**Energy of formation**: 0.1570 eV per atom
**Energy above the lowest structure with this stoichiometry**: 0.00 eV per formula unit

***

DFT (PBE) results for an optimized crystal structure of NaTe2Ru.

extended XYZ file:
```
4
Lattice="0.0000 3.4753 3.4753 3.4753 0.0000 3.4753 3.4753 3.4753 0.0000" Properties=species:S:1:pos:R:3 pbc="T T T"
Ru 3.4753 3.4753 3.4753
Te 1.7376 1.7376 1.7376
Te 5.2129 5.2129 5.2129
Na 0.0000 0.0000 0.0000
```

Results
**Symmetry**: Fm-3m
**Crystal system**: cubic
**E_form (uncorrected)**: 0.4 kcal/mol of atoms
**Energy above the lowest structure with this stoichiometry**: 0.85 eV per formula unit

***

DFT (PBE) results for an optimized crystal structure of La3Pr2Ir3.

extended XYZ file:
```
16
Lattice="-0.7560 -5.6596 -0.7336 4.7653 2.8933 -4.6440 10.4424 -2.5748 9.1030" Properties=species:S:1:pos:R:3 pbc="T T T"
La 7.0573 -4.2744 3.1162
La 4.4031 -3.4394 -0.5907
La 12.7446 -5.0417 3.1750
La 10.0310 -1.9003 4.3240
La 1.6725 -0.2970 0.5677
La 4.4545 -0.9802 2.9717
Pr 10.8898 -5.2158 6.4294
Pr 9.9619 -4.3608 0.7891
Pr 7.3966 -1.0723 0.6504
Pr 3.5544 -0.1310 -2.6522
Ir 9.9882 -4.7329 3.6329
Ir 3.3362 -2.9407 -3.3385
Ir 7.2686 -3.9132 0.1119
Ir 4.4486 -0.6164 0.1713
Ir 11.0998 -2.4020 7.0923
Ir 7.1769 -1.4243 3.5922
```

Results
**Symmetry**: Cm
**Crystal system**: monoclinic
**Energy of formation**: -0.5483 eV per atom

***

DFT (PBE) results for an optimized crystal structure of TaNiSb2.

extended XYZ file:
```
4
Lattice="4.0275 0.0000 0.0000 0.0000 3.7427 -0.1577 0.0000 2.0608 5.0729" Properties=species:S:1:pos:R:3 pbc="T T T"
Ni 2.0137 3.6516 3.9688
Sb 0.0000 5.5548 4.4390
Sb 2.0137 1.6991 1.5403
Ta 0.0000 3.6033 2.3398
```

Results
**Symmetry**: Pm
**Crystal system**: monoclinic
**E_form (uncorrected)**: -1.6 kcal/mol of atoms
**Energy above the lowest structure with this stoichiometry**: 0.00 eV per formula unit

***

DFT (PBE) results for an optimized crystal structure of YRuPt3.

extended XYZ file:
```
5
Lattice="5.0153 0.0000 0.0000 0.0000 5.0153 0.0000 0.0000 0.0000 5.0153" Properties=species:S:1:pos:R:3 pbc="T T T"
Y 0.0000 0.0000 0.0000
Ru 2.5077 2.5077 2.5077
Pt 0.0000 2.5077 0.0000
Pt 0.0000 0.0000 2.5077
Pt 2.5077 0.0000 0.0000
```

Results
**Symmetry**: Pm-3m
**Crystal system**: cubic
**Energy of formation**: 1.4536 eV per atom
**Energy above the lowest structure with this stoichiometry**: 5.58 eV per formula unit